Record 1
This record from Alexandria describes a PBEsol-optimized structure of Ca2TlSi. The functional is meta-GGA SCAN.

Structure (extended XYZ):
```
4
Lattice="-0.2018 3.6811 1.3779 -4.6955 -0.6449 1.0350 3.7575 -3.2622 3.6446" Properties=species:S:1:pos:R:3 pbc="T T T"
Tl -1.8003 -1.0519 2.5464
Si -2.3798 1.4264 1.4616
Ca 0.6115 0.8913 3.3292
Ca -1.1595 -0.1997 5.9844
```

Values from the calculation:
SG: Imm2, No. 44
Formation energy without anion corrections (eV per atom): -0.328
Crystal system: orthorhombic
N(E_F) (states/eV/atom): 0.49

***

Record 2
This record from Alexandria describes a PBEsol-optimized structure of CaTlSi4. The functional is meta-GGA SCAN.

Structure (extended XYZ):
```
6
Lattice="-2.4982 -4.7428 0.2071 -1.0514 -2.2729 4.7441 -5.0549 -0.2939 1.7719" Properties=species:S:1:pos:R:3 pbc="T T T"
Si -3.7476 -3.8795 4.9068
Si -3.2172 -2.7330 2.5138
Si -5.7670 -2.8813 3.4075
Si -4.4773 -5.1254 2.6182
Tl -6.4534 -5.4822 5.0424
Ca 0.0000 0.0000 0.0000
```

Values from the calculation:
SG: F-43m, No. 216
Formation energy without anion corrections (eV per atom): 0.182
Crystal system: cubic
N(E_F) (states/eV/atom): 0.38

***

Record 3
This record from Alexandria describes a PBEsol-optimized structure of CaTlSi. The functional is meta-GGA SCAN.

Structure (extended XYZ):
```
3
Lattice="3.6703 0.0000 0.0000 0.0000 3.6726 0.0000 -1.8351 -1.8363 5.3079" Properties=species:S:1:pos:R:3 pbc="T T T"
Ca 0.0000 0.0000 0.0599
Tl 0.0000 0.0000 3.2866
Si 1.8351 1.8363 1.9613
```

Values from the calculation:
Distance to the lowest polymorph of the same formula (eV/atom): 0.000
SG: I4mm, No. 107
Formation energy without anion corrections (eV per atom): -0.055
Crystal system: tetragonal
N(E_F) (states/eV/atom): 0.52

***

Record 4
This record from Alexandria describes a PBEsol-optimized structure of CaTlSi. The functional is meta-GGA SCAN.

Structure (extended XYZ):
```
3
Lattice="4.8176 0.0000 0.0000 2.4088 4.1722 0.0000 2.4088 1.3907 3.9336" Properties=species:S:1:pos:R:3 pbc="T T T"
Ca 0.0000 0.0000 0.0000
Tl 2.4088 1.3907 0.9834
Si 4.8176 2.7814 1.9668
```

Values from the calculation:
Distance to the lowest polymorph of the same formula (eV/atom): 0.082
SG: F-43m, No. 216
Formation energy without anion corrections (eV per atom): 0.026
Crystal system: cubic
N(E_F) (states/eV/atom): 0.57

***

Record 5
This record from Alexandria describes a PBEsol-optimized structure of CaSiW4. The functional is meta-GGA SCAN.

Structure (extended XYZ):
```
6
Lattice="5.3261 0.0000 0.0000 2.6631 4.6126 0.0000 2.6631 1.5375 4.3488" Properties=species:S:1:pos:R:3 pbc="T T T"
W 6.6582 2.3060 1.6306
W 3.9940 2.3060 1.6306
W 5.3261 4.6132 1.6306
W 5.3261 3.0750 3.8059
Si 0.0000 0.0000 0.0000
Ca 7.9892 4.6126 3.2616
```

Values from the calculation:
SG: F-43m, No. 216
Formation energy without anion corrections (eV per atom): 0.767
Crystal system: cubic
N(E_F) (states/eV/atom): 0.84

***

Record 6
This record from Alexandria describes a PBEsol-optimized structure of Ca2YSi. The functional is meta-GGA SCAN.

Structure (extended XYZ):
```
4
Lattice="4.6910 0.0000 0.0000 0.0000 4.6910 0.0000 -2.3455 -2.3455 4.7145" Properties=species:S:1:pos:R:3 pbc="T T T"
Ca 0.0000 0.0000 0.0000
Ca 2.3455 0.0000 2.3572
Si 2.3455 2.3455 0.0000
Y 0.0000 2.3455 2.3572
```

Values from the calculation:
SG: I-4m2, No. 119
Formation energy without anion corrections (eV per atom): -0.014
Crystal system: tetragonal
N(E_F) (states/eV/atom): 1.00

***

Record 7
This record from Alexandria describes a PBEsol-optimized structure of Ca2YSi. The functional is meta-GGA SCAN.

Structure (extended XYZ):
```
4
Lattice="-2.2477 2.2295 1.3004 -2.1838 -2.5619 0.6178 3.8568 -1.1887 8.7043" Properties=species:S:1:pos:R:3 pbc="T T T"
Ca 3.1205 -0.9618 7.0424
Ca 0.7364 -0.2270 1.6619
Si -2.2157 -0.1662 0.9591
Y -0.2873 -0.7605 5.3112
```

Values from the calculation:
SG: P4/mmm, No. 123
Formation energy without anion corrections (eV per atom): -0.090
Crystal system: tetragonal
N(E_F) (states/eV/atom): 0.60

***

Record 8
This record from Alexandria describes a PBEsol-optimized structure of CaY2Si. The functional is meta-GGA SCAN.

Structure (extended XYZ):
```
4
Lattice="3.8820 0.0000 0.0749 0.0000 4.0582 0.0000 -0.8319 0.0000 6.7197" Properties=species:S:1:pos:R:3 pbc="T T T"
Y 3.0312 0.0000 4.8356
Y 0.0189 0.0000 1.9590
Si 1.5251 2.0291 3.3973
Ca 1.9410 2.0291 0.0374
```

Values from the calculation:
SG: P2/m, No. 10
Formation energy without anion corrections (eV per atom): -0.174
Crystal system: monoclinic
N(E_F) (states/eV/atom): 0.78

***

Record 9
This record from Alexandria describes a PBEsol-optimized structure of Ca2YSi. The functional is meta-GGA SCAN.

Structure (extended XYZ):
```
4
Lattice="-3.1806 -0.8577 1.3702 -1.5203 -3.1176 -0.8356 3.2646 -5.9170 8.5191" Properties=species:S:1:pos:R:3 pbc="T T T"
Y 0.0000 0.0000 0.0000
Ca -0.1238 -2.6967 2.6695
Ca -1.3125 -7.1956 6.3841
Si -0.7181 -4.9461 4.5268
```

Values from the calculation:
SG: R-3m, No. 166
Formation energy without anion corrections (eV per atom): 0.061
Crystal system: trigonal
N(E_F) (states/eV/atom): 0.87

***

Record 10
This record from Alexandria describes a PBEsol-optimized structure of CaY2Si. The functional is meta-GGA SCAN.

Structure (extended XYZ):
```
4
Lattice="-0.4821 4.4283 -1.1632 -3.3925 -1.1310 -2.8996 -1.1877 -1.0861 5.4682" Properties=species:S:1:pos:R:3 pbc="T T T"
Ca -1.9373 1.6486 -2.0314
Si 0.0000 0.0000 0.0000
Y -1.8036 2.4954 1.1368
Y -3.2587 -0.2842 0.2686
```

Values from the calculation:
SG: I4/mmm, No. 139
Formation energy without anion corrections (eV per atom): -0.078
Crystal system: tetragonal
N(E_F) (states/eV/atom): 0.86

***

Record 11
This record from Alexandria describes a PBEsol-optimized structure of CaZn2Si. The functional is meta-GGA SCAN.

Structure (extended XYZ):
```
4
Lattice="3.3125 0.0326 0.0000 -0.0327 3.3125 0.0000 0.0000 0.0000 6.6628" Properties=species:S:1:pos:R:3 pbc="T T T"
Zn 1.6399 1.6726 5.3770
Zn 0.0000 0.0000 0.0263
Ca 0.0000 0.0000 3.3079
Si 1.6399 1.6726 1.2831
```

Values from the calculation:
SG: P4mm, No. 99
Formation energy without anion corrections (eV per atom): -0.045
Crystal system: tetragonal
N(E_F) (states/eV/atom): 0.43

***

Record 12
This record from Alexandria describes a PBEsol-optimized structure of CaZn3Si. The functional is meta-GGA SCAN.

Structure (extended XYZ):
```
5
Lattice="4.7082 0.0000 0.0000 0.0000 4.7082 0.0000 0.0000 0.0000 4.7082" Properties=species:S:1:pos:R:3 pbc="T T T"
Si 0.0000 0.0000 0.0000
Zn 0.0000 2.3541 0.0000
Zn 2.3541 0.0000 0.0000
Zn 0.0000 0.0000 2.3541
Ca 2.3541 2.3541 2.3541
```

Values from the calculation:
SG: Pm-3m, No. 221
Formation energy without anion corrections (eV per atom): 0.184
Crystal system: cubic
N(E_F) (states/eV/atom): 0.37

***

Record 13
This record from Alexandria describes a PBEsol-optimized structure of Ca2ZnSi2. The functional is meta-GGA SCAN.

Structure (extended XYZ):
```
5
Lattice="-5.0656 -1.0785 1.7565 4.0614 -1.8615 3.1541 1.4545 5.2719 0.0157" Properties=species:S:1:pos:R:3 pbc="T T T"
Zn 0.0000 0.0000 0.0000
Ca 0.8769 -0.6174 3.2477
Ca -0.4266 2.9493 1.6785
Si 3.6577 2.2615 2.1020
Si 1.8581 1.1489 1.0678
```

Values from the calculation:
SG: I4/mmm, No. 139
Formation energy without anion corrections (eV per atom): 0.030
Crystal system: tetragonal
N(E_F) (states/eV/atom): 0.52

***

Record 14
This record from Alexandria describes a PBEsol-optimized structure of CaZrSi2. The functional is meta-GGA SCAN.

Structure (extended XYZ):
```
4
Lattice="-1.8914 -0.0678 2.1980 3.7086 -1.5887 3.1423 1.1304 4.8594 1.1227" Properties=species:S:1:pos:R:3 pbc="T T T"
Si 0.5652 2.4297 0.5614
Si 1.8543 -0.7943 1.5712
Ca -0.9457 -0.0339 1.0990
Zr 1.4738 1.6014 3.2315
```

Values from the calculation:
SG: P4/mmm, No. 123
Formation energy without anion corrections (eV per atom): -0.241
Crystal system: tetragonal
N(E_F) (states/eV/atom): 0.51